# Li6NdAg6, optimized geometry, DFT PBE
data_Li6NdAg6
_cell_length_a 5.590
_cell_length_b 7.196
_cell_length_c 7.196
_cell_angle_alpha 76.68
_cell_angle_beta 67.14
_cell_angle_gamma 67.14
_space_group_name_H-M_alt 'P 1'
_space_group_IT_number 1
loop_
_space_group_symop_operation_xyz
'x,y,z'
loop_
_atom_site_label
_atom_site_fract_x
_atom_site_fract_y
_atom_site_fract_z
_atom_site_occupancy
Li1 0.359 0.641 0.641 1
Li2 0.641 0.359 0.359 1
Li3 0.000 0.346 0.654 1
Li4 0.000 0.654 0.346 1
Li5 0.289 0.211 0.211 1
Li6 0.711 0.789 0.789 1
Nd1 0.000 0.000 0.000 1
Ag1 0.000 0.500 0.000 1
Ag2 0.500 0.500 0.000 1
Ag3 0.000 0.000 0.500 1
Ag4 0.500 0.000 0.500 1
Ag5 0.500 0.794 0.206 1
Ag6 0.500 0.206 0.794 1
# Energy above the most stable polymorph in this dataset (eV/atom): 0.000
# Magnetization (μB per atom): 0.00
# Formation enthalpy at 0 K (eV per formula unit): -2.10